{"formula": "MnSeO4", "functional": "GGA+U", "state": "relaxed", "m_tot_mub_per_atom": 0.50, "e_tot_ev_per_cell": -71.392, "crystal_system": "orthorhombic", "volume_a3_per_cell": 193, "sg": "Ama2", "lattice": [[-2.326, 2.747, 6.176], [-2.360, -1.421, -6.596], [-1.674, -5.362, 1.754]], "species": ["O", "Mn", "Se", "O", "O", "O", "O", "Mn", "O", "Se", "O", "O"], "frac_coords": [[0.500, 0.210, 0.250], [0.842, 0.296, 0.250], [0.907, 0.132, 0.750], [0.210, 0.500, 0.750], [0.677, 0.050, 0.538], [0.050, 0.677, 0.462], [0.050, 0.677, 0.038], [0.296, 0.842, 0.750], [0.677, 0.050, 0.962], [0.132, 0.907, 0.250], [0.147, 0.384, 0.250], [0.384, 0.147, 0.750]]}